Model 1:
VASP calculation (GGA+U) on crystalline BeFeIO2 at its relaxed geometry.

extended XYZ file:
```
5
Lattice="3.7018 0.0000 0.0000 0.0000 3.7018 0.0000 0.0000 0.0000 5.4329" Properties=species:S:1:pos:R:3 pbc="T T T"
Be 0.0000 0.0000 0.0000
O 0.0000 1.8509 0.0000
O 1.8509 0.0000 0.0000
I 0.0000 0.0000 2.7164
Fe 1.8509 1.8509 2.7164
```

Its density of states at the Fermi level is 0.2710 states/eV per atom. As for the symmetry: P4/mmm (123).



Model 2:
VASP calculation (GGA+U) on crystalline BeFeIO2 at its relaxed geometry.

extended XYZ file:
```
5
Lattice="3.7451 0.0000 0.0000 0.0000 3.7451 0.0000 0.0000 0.0000 6.2661" Properties=species:S:1:pos:R:3 pbc="T T T"
Fe 0.0000 0.0000 0.0000
I 0.0000 0.0000 3.1331
O 1.8726 0.0000 0.0000
O 0.0000 1.8726 0.0000
Be 1.8726 1.8726 3.1331
```

Its density of states at the Fermi level is 0.3596 states/eV per atom. As for the symmetry: P4/mmm (123).



The calculated energies rank the structures as follows, beginning with the most stable: model 1, model 2.